Density functional theory data (PBE) for a relaxed structure of ZrTiCu2Se.

Computed properties:
DOS at the Fermi energy: 5.81 states/eV per cell
VASP energy: -4.706 eV per atom
Raw formation energy: 0.918 eV/atom
SG: P4/mmm (123)

a b c (Å): 4.636 4.636 4.898
angles (deg): 90.00 90.00 90.00
Fractional positions:
Zr  0.000  0.000  0.000
Ti  0.000  0.000  0.500
Cu  0.000  0.500  0.500
Cu  0.500  0.000  0.500
Se  0.500  0.500  0.000